The following is a meta-GGA SCAN calculation of a crystal of MgInSb2 relaxed with PBEsol, from Alexandria via LeMat-Bulk.

Results
Its uncorrected formation energy is -117 meV per atom. The total magnetization is 0.0 μB/f.u.

Unit cell a=5.352 b=5.942 c=3.218 alpha=90.00 beta=90.00 gamma=90.00
Fractional coordinates of all 4 atoms:
Mg (0.000, 0.000, 0.000)
In (0.500, 0.500, 0.495)
Sb (0.000, 0.500, 0.997)
Sb (0.500, 0.000, 0.500)

The following is a meta-GGA SCAN calculation of a crystal of KScF4 relaxed with PBEsol, from Alexandria via LeMat-Bulk.

Results
Its uncorrected formation energy is -3847 meV per atom. The total magnetization is 0.1 μB/f.u.

Unit cell a=8.047 b=8.047 c=13.286 alpha=107.60 beta=107.60 gamma=29.31
Fractional coordinates of all 24 atoms:
K (0.139, 0.139, 0.364)
K (0.256, 0.256, 0.865)
K (0.744, 0.744, 0.135)
K (0.861, 0.861, 0.636)
Sc (0.378, 0.378, 0.385)
Sc (0.472, 0.472, 0.139)
Sc (0.528, 0.528, 0.861)
Sc (0.622, 0.622, 0.615)
F (0.028, 0.028, 0.857)
F (0.119, 0.119, 0.619)
F (0.265, 0.265, 0.267)
F (0.322, 0.322, 0.497)
F (0.339, 0.339, 0.070)
F (0.397, 0.397, 0.782)
F (0.455, 0.455, 0.284)
F (0.500, 0.500, 0.000)
F (0.500, 0.500, 0.500)
F (0.545, 0.545, 0.716)
F (0.603, 0.603, 0.218)
F (0.661, 0.661, 0.930)
F (0.678, 0.678, 0.503)
F (0.735, 0.735, 0.733)
F (0.881, 0.881, 0.381)
F (0.972, 0.972, 0.143)

The following is a meta-GGA SCAN calculation of a crystal of Rb2MnSbAu relaxed with PBEsol, from Alexandria via LeMat-Bulk.

Results
Its uncorrected formation energy is 90 meV per atom. The total magnetization is 4.9 μB/f.u.

Unit cell a=6.586 b=6.586 c=4.830 alpha=90.00 beta=90.00 gamma=90.00
Fractional coordinates of all 5 atoms:
Rb (0.000, 0.500, 0.000)
Rb (0.500, 0.000, 0.000)
Mn (0.000, 0.000, 0.000)
Sb (0.000, 0.000, 0.500)
Au (0.500, 0.500, 0.500)

- total magnetization of number 2 (KScF4)?
  0.1 μB/f.u.